No. 1
LiCrOs2Pb after structural relaxation, computed with GGA-PBE.

The space group is P4/mmm (No. 123) and the conventional cell measures 4.9957, 4.9957 and 4.5496 Å, with angles of 90.00, 90.00 and 90.00 degrees. The distinct sites, in fractional coordinates, are Li at (0.0000, 0.0000, 0.0000), Cr at (0.5000, 0.5000, 0.0000), Os at (0.0000, 0.5000, 0.5000) and Pb at (0.0000, 0.0000, 0.5000).

As for the density of states at the Fermi level: 4.9 states/eV per cell. The formation energy from the elements is 2.11 eV per atom. For the density, the calculation gives 9.5 g/cm3.

***

No. 2
Rb3SbBr8 after structural relaxation, computed with GGA-PBE.

The space group is I4/mmm (No. 139) and the conventional cell measures 7.7378, 7.7378 and 16.1746 Å, with angles of 90.00, 90.00 and 90.00 degrees. The distinct sites, in fractional coordinates, are Rb at (0.0000, 0.0000, 0.0000), Rb at (0.0000, 0.5000, 0.2500), Sb at (0.0000, 0.0000, 0.5000) and Br at (0.2210, 0.2210, 0.3899).

As for the density of states at the Fermi level: 33.8 states/eV per cell. The calculation puts the formation energy from raw total energies at -0.899 eV per atom. For the density, the calculation gives 3.5 g/cm3.

***

No. 3
La5Ho4Tm after structural relaxation, computed with GGA-PBE.

The space group is P-1 (No. 2) and the conventional cell measures 3.5939, 9.0338 and 11.6261 Å, with angles of 112.49, 90.86 and 100.97 degrees. The distinct sites, in fractional coordinates, are La at (0.0000, 0.0000, 0.0000), La at (0.3418, 0.6974, 0.0773), La at (0.4710, 0.8915, 0.6872), Ho at (0.1064, 0.2102, 0.6166), Ho at (0.2506, 0.4154, 0.2172) and Tm at (0.0000, 0.5000, 0.5000).

As for the density of states at the Fermi level: 16.5 states/eV per cell. The formation energy from the elements is 0.06 eV per atom. For the density, the calculation gives 7.4 g/cm3.

***

No. 4
NaBe4As3O12 after structural relaxation, computed with GGA-PBE.

The space group is R32 (No. 155, hexagonal axes) and the conventional cell measures 9.7822, 9.7822 and 7.0285 Å, with angles of 90.00, 90.00 and 120.00 degrees. The distinct sites, in fractional coordinates, are Na at (0.0000, 0.0000, 0.0000), Be at (0.0000, 0.0000, 0.5000), Be at (0.0000, 0.4340, 0.5000), As at (0.0000, 0.5550, 0.0000), O at (0.0000, 0.5972, 0.5000), O at (0.0000, 0.8402, 0.5000) and O at (0.0505, 0.2233, 0.1945).

As for the density of states at the Fermi level: 0.0 states/eV per cell. The calculation puts the formation energy from raw total energies at -1.768 eV per atom. For the density, the calculation gives 4.1 g/cm3.